1.
CaY4Au | GGA-PBEsol | optimized geometry

Cell and atoms, written as CIF:
```
data_CaY4Au
_symmetry_space_group_name_H-M 'P 1'
_symmetry_Int_Tables_number 1
_cell_length_a 6.2934
_cell_length_b 6.2934
_cell_length_c 6.2934
_cell_angle_alpha 60.00
_cell_angle_beta 60.00
_cell_angle_gamma 60.00
loop_
_symmetry_equiv_pos_as_xyz
'x,y,z'
loop_
_atom_site_label
_atom_site_type_symbol
_atom_site_fract_x
_atom_site_fract_y
_atom_site_fract_z
_atom_site_occupancy
Y1 Y 0.3759 0.3759 0.3759 1
Y2 Y 0.8722 0.3759 0.3759 1
Y3 Y 0.3759 0.3759 0.8722 1
Y4 Y 0.3759 0.8722 0.3759 1
Au1 Au 0.7500 0.7500 0.7500 1
Ca1 Ca 0.0000 0.0000 0.0000 1
```

Computed properties:
Symmetry: F-43m, No. 216

---

2.
InNiAs2 | GGA-PBEsol | optimized geometry

Cell and atoms, written as CIF:
```
data_InNiAs2
_symmetry_space_group_name_H-M 'P 1'
_symmetry_Int_Tables_number 1
_cell_length_a 4.6137
_cell_length_b 4.6137
_cell_length_c 4.6137
_cell_angle_alpha 60.00
_cell_angle_beta 60.00
_cell_angle_gamma 60.00
loop_
_symmetry_equiv_pos_as_xyz
'x,y,z'
loop_
_atom_site_label
_atom_site_type_symbol
_atom_site_fract_x
_atom_site_fract_y
_atom_site_fract_z
_atom_site_occupancy
Ni1 Ni 0.5000 0.5000 0.5000 1
As1 As 0.7500 0.7500 0.7500 1
As2 As 0.2500 0.2500 0.2500 1
In1 In 0.0000 0.0000 0.0000 1
```

Computed properties:
Symmetry: Fm-3m, No. 225

---

Number 1: ΔE_f 0.320 eV/atom, E_tot -5.2378 eV/atom. Number 2: ΔE_f 0.335 eV/atom, E_tot -4.5028 eV/atom.